ScZn8Cu2 | GGA-PBE | optimized geometry

The space group is P4/mmm (No. 123) and the conventional cell measures 5.3072, 5.3072 and 7.7682 Å, with angles of 90.00, 90.00 and 90.00 degrees. Symmetry generates all atoms from Sc at (0.0000, 0.0000, 0.0000), Zn at (0.2523, 0.2523, 0.2814) and Cu at (0.0000, 0.5000, 0.5000).

The calculated formation energy comes out at 22.6 kJ per mole of atoms. For the uncorrected energy, the calculation gives -2.0125 eV/atom. The value obtained for the total magnetization is 0.00 μB/cell.

***

Ba4SrAu | GGA-PBE | optimized geometry

The space group is F-43m (No. 216) and the conventional cell measures 10.9413, 10.9413 and 10.9413 Å, with angles of 90.00, 90.00 and 90.00 degrees. Symmetry generates all atoms from Ba at (0.1244, 0.1244, 0.3756), Sr at (0.0000, 0.0000, 0.0000) and Au at (0.2500, 0.2500, 0.7500).

The energy relative to the lowest polymorph listed for this composition is 0.556 eV/atom. The calculated formation energy comes out at 32.9 kJ per mole of atoms. For the uncorrected energy, the calculation gives -1.7669 eV/atom. The value obtained for the total magnetization is 8.11 μB/cell.

***

K2LaZn | GGA-PBE | optimized geometry

The space group is Pmmm (No. 47) and the conventional cell measures 3.6494, 6.0735 and 7.3034 Å, with angles of 90.00, 90.00 and 90.00 degrees. Symmetry generates all atoms from K at (0.0000, 0.0000, 0.2284), La at (0.5000, 0.5000, 0.5000) and Zn at (0.5000, 0.5000, 0.0000).

The energy relative to the lowest polymorph listed for this composition is 0.374 eV/atom. The calculated formation energy comes out at 42.5 kJ per mole of atoms. For the uncorrected energy, the calculation gives -1.6590 eV/atom. The value obtained for the total magnetization is 0.06 μB/cell.

***

Ca3LaCl | GGA-PBE | optimized geometry

The space group is Pm-3m (No. 221) and the conventional cell measures 5.6860, 5.6860 and 5.6860 Å, with angles of 90.00, 90.00 and 90.00 degrees. Symmetry generates all atoms from Ca at (0.0000, 0.0000, 0.5000), La at (0.5000, 0.5000, 0.5000) and Cl at (0.0000, 0.0000, 0.0000).

The energy relative to the lowest polymorph listed for this composition is 0.000 eV/atom. The uncorrected formation energy is -0.433 eV per atom. For the uncorrected energy, the calculation gives -2.9887 eV/atom. The value obtained for the total magnetization is 1.72 μB/cell.

***

Li8Cd2Ag3 | GGA-PBE | optimized geometry

The space group is P2/m (No. 10) and the conventional cell measures 7.2713, 4.6676 and 7.7066 Å, with angles of 90.00, 113.72 and 90.00 degrees. Symmetry generates all atoms from Li at (0.0794, 0.0000, 0.3674), Li at (0.0885, 0.5000, 0.8461), Li at (0.3633, 0.0000, 0.7882), Li at (0.3875, 0.5000, 0.2834), Cd at (0.2132, 0.0000, 0.0779), Ag at (0.2098, 0.5000, 0.5448) and Ag at (0.5000, 0.0000, 0.5000).

The energy relative to the lowest polymorph listed for this composition is 0.000 eV/atom. The calculated formation energy comes out at -14.7 kJ per mole of atoms. For the uncorrected energy, the calculation gives -2.1285 eV/atom. The value obtained for the total magnetization is 0.00 μB/cell.

***

Nd2Dy2Y6Sc | GGA-PBE | optimized geometry

The space group is C2/m (No. 12) and the conventional cell measures 5.8227, 11.3621 and 11.0795 Å, with angles of 90.00, 98.08 and 90.00 degrees. Symmetry generates all atoms from Nd at (0.0000, 0.1400, 0.0000), Dy at (0.0000, 0.1775, 0.5000), Y at (0.0717, 0.3423, 0.2276), Y at (0.0925, 0.0000, 0.2719) and Sc at (0.0000, 0.5000, 0.5000).

The calculated formation energy comes out at 16.3 kJ per mole of atoms. For the uncorrected energy, the calculation gives -5.6359 eV/atom. The value obtained for the total magnetization is 0.00 μB/cell.

***

MgTiNbW | GGA-PBE | optimized geometry

The space group is F-43m (No. 216) and the conventional cell measures 6.5265, 6.5265 and 6.5265 Å, with angles of 90.00, 90.00 and 90.00 degrees. Symmetry generates all atoms from Mg at (0.0000, 0.0000, 0.0000), Ti at (0.2500, 0.2500, 0.7500), Nb at (0.2500, 0.2500, 0.2500) and W at (0.0000, 0.0000, 0.5000).

The calculated formation energy comes out at 14.6 kJ per mole of atoms. For the uncorrected energy, the calculation gives -7.9767 eV/atom. The value obtained for the total magnetization is 0.00 μB/cell.

***

ScBe2CuI | GGA-PBE | optimized geometry

The space group is P4/mmm (No. 123) and the conventional cell measures 5.1701, 5.1701 and 4.9778 Å, with angles of 90.00, 90.00 and 90.00 degrees. Symmetry generates all atoms from Sc at (0.0000, 0.0000, 0.0000), Be at (0.0000, 0.5000, 0.0000), Cu at (0.0000, 0.0000, 0.5000) and I at (0.5000, 0.5000, 0.5000).

The uncorrected formation energy is 1.397 eV per atom. For the uncorrected energy, the calculation gives -2.4894 eV/atom. The value obtained for the total magnetization is 0.59 μB/cell.

***

Sc2SbAu | GGA-PBE | optimized geometry

The space group is P4mm (No. 99) and the conventional cell measures 4.7434, 4.7434 and 3.8116 Å, with angles of 90.00, 90.00 and 90.00 degrees. Symmetry generates all atoms from Sc at (0.0000, 0.5000, 0.0000), Sb at (0.0000, 0.0000, 0.4996) and Au at (0.5000, 0.5000, 0.5017).

The uncorrected formation energy is -0.724 eV per atom. For the uncorrected energy, the calculation gives -5.7399 eV/atom. The value obtained for the total magnetization is 0.88 μB/cell.

***

SrCaAs2 | GGA-PBE | optimized geometry

The space group is I-42d (No. 122) and the conventional cell measures 8.1488, 8.1488 and 6.7278 Å, with angles of 90.00, 90.00 and 90.00 degrees. Symmetry generates all atoms from Sr at (0.0000, 0.0000, 0.0000), Ca at (0.0000, 0.0000, 0.5000) and As at (0.2348, 0.2500, 0.6250).

The energy relative to the lowest polymorph listed for this composition is 0.246 eV/atom. The calculated formation energy comes out at -69.9 kJ per mole of atoms. For the uncorrected energy, the calculation gives -3.9703 eV/atom. The value obtained for the total magnetization is 0.00 μB/cell.

***

Nd2AlInO6 | GGA-PBE | optimized geometry

The space group is P2_1/c (No. 14) and the conventional cell measures 5.5261, 5.7242 and 9.6447 Å, with angles of 90.00, 124.66 and 90.00 degrees. Symmetry generates all atoms from Nd at (0.2348, 0.0545, 0.2504), Al at (0.0000, 0.0000, 0.5000), In at (0.5000, 0.0000, 0.0000), O at (0.1308, 0.2182, 0.9440), O at (0.2314, 0.6893, 0.9501) and O at (0.3332, 0.0334, 0.7338).

The uncorrected formation energy is -2.826 eV per atom. For the uncorrected energy, the calculation gives -7.4029 eV/atom. The value obtained for the total magnetization is 0.00 μB/cell.

***

MnZnI4 | GGA-PBE | optimized geometry

The space group is P4_2/mmc (No. 131) and the conventional cell measures 7.9819, 7.9819 and 10.2627 Å, with angles of 90.00, 90.00 and 90.00 degrees. Symmetry generates all atoms from Mn at (0.0000, 0.0000, 0.0000), Zn at (0.0000, 0.5000, 0.0000) and I at (0.2380, 0.2529, 0.0000).

The uncorrected formation energy is -0.306 eV per atom. For the uncorrected energy, the calculation gives -3.0799 eV/atom. The value obtained for the total magnetization is 10.02 μB/cell.

***

Which of these has the highest total magnetization?
MnZnI4